Record 1
MnPbCl2, relaxed, DFT GGA-PBE; space group = Cmmm, No. 65; polymorph energy (0 for the lowest one) = 148 meV per atom; total moment = 1.174 μB per atom; energy relative to the elements, uncorrected = -0.5133 eV/atom
1.0
1.7400 -3.1321 0.0000
1.7400 3.1321 0.0000
0.0000 0.0000 10.1861
Mn Pb Cl
1 1 2
Cartesian
0.0000 0.0000 0.0000
0.0000 0.0000 5.0931
1.7400 0.0000 1.6802
1.7400 0.0000 8.5059

---

Record 2
MnPb2Cl4, relaxed, DFT GGA-PBE; space group = Pbam, No. 55; total moment = 0.672 μB per atom; energy relative to the elements, uncorrected = -0.7853 eV/atom
1.0
9.2284 0.0000 0.0000
0.0000 11.1099 0.0000
0.0000 0.0000 3.5875
Mn Pb Cl
2 4 8
Cartesian
0.0000 0.0000 0.0000
4.6142 5.5550 0.0000
0.8858 4.0877 1.7938
3.7284 9.6427 1.7938
5.5001 1.4672 1.7938
8.3426 7.0222 1.7938
0.9436 8.7838 0.0000
1.6637 0.6561 1.7938
2.9505 6.2110 1.7938
3.6706 3.2288 0.0000
5.5578 7.8811 0.0000
6.2779 4.8989 1.7938
7.5647 10.4538 1.7938
8.2848 2.3261 0.0000

---

Record 3
MnPbCl2, relaxed, DFT GGA-PBE; space group = P2/m, No. 10; polymorph energy (0 for the lowest one) = 367 meV per atom; total moment = 1.117 μB per atom; energy relative to the elements, uncorrected = -0.2938 eV/atom
1.0
3.7068 0.0000 0.0000
0.0000 4.4095 0.0000
-0.3212 0.0000 5.8280
Mn Pb Cl
1 1 2
Cartesian
0.0000 0.0000 0.0000
1.6928 0.0000 2.9140
0.4692 2.2047 4.5153
2.9164 2.2047 1.3128

---

Record 4
MnPbCl2, relaxed, DFT GGA-PBE; space group = Cm, No. 8; polymorph energy (0 for the lowest one) = 130 meV per atom; total moment = 1.110 μB per atom; energy relative to the elements, uncorrected = -0.5309 eV/atom
1.0
5.7519 -1.6664 0.0000
5.7519 1.6664 0.0000
-1.5133 0.0000 5.5697
Mn Pb Cl
1 1 2
Cartesian
0.0000 0.0000 0.0000
2.5918 0.0000 3.4257
4.8400 0.0000 1.6308
6.0369 0.0000 5.2266

---

> What is the total moment in the third record?

1.117 μB per atom

---

> Look up the total moment of the first one.

1.174 μB per atom

---

> What is the total moment in the first record?

1.174 μB per atom

---

> Which value of total moment does entry 1 give?

1.174 μB per atom